# 1
# PuVP3, relaxed, DFT GGA-PBE
# - Total magnetic moment: 5.1 μB/f.u.
# - Crystal system: orthorhombic
# - ΔH_f (0 K): -0.775 eV per atom
data_PuVP3
_space_group_name_H-M_alt 'P b c m'
_space_group_IT_number 57
_space_group_name_Hall '-P 2c 2b'
_cell_length_a 11.820
_cell_length_b 5.256
_cell_length_c 5.332
_cell_angle_alpha 90.00
_cell_angle_beta 90.00
_cell_angle_gamma 90.00
loop_
_atom_site_label
_atom_site_type_symbol
_atom_site_fract_x
_atom_site_fract_y
_atom_site_fract_z
Pu1 Pu 0.185 0.003 0.250
V1 V 0.421 0.750 0.000
P1 P 0.001 0.750 0.000
P2 P 0.287 0.004 0.750
P3 P 0.419 0.127 0.250

***

# 2
# PuVP2, relaxed, DFT GGA-PBE
# - Total magnetic moment: 4.9 μB/f.u.
# - Energy relative to the lowest polymorph listed for this composition: 0 kJ/mol of formula units
# - Crystal system: trigonal
# - ΔH_f (0 K): -0.852 eV per atom
data_PuVP2
_space_group_name_H-M_alt 'R -3 m'
_space_group_IT_number 166
_space_group_name_Hall '-R 3 2"'
_cell_length_a 3.6864
_cell_length_b 3.6864
_cell_length_c 17.7973
_cell_angle_alpha 90.00
_cell_angle_beta 90.00
_cell_angle_gamma 120.00
loop_
_atom_site_label
_atom_site_type_symbol
_atom_site_fract_x
_atom_site_fract_y
_atom_site_fract_z
Pu1 Pu 0.0000 0.0000 0.0000
V1 V 0.0000 0.0000 0.5000
P1 P 0.0000 0.0000 0.2372

***

# 3
# PuVP2, relaxed, DFT GGA-PBE
# - Total magnetic moment: 5.0 μB/f.u.
# - Energy relative to the lowest polymorph listed for this composition: 20 kJ/mol of formula units
# - Crystal system: trigonal
# - ΔH_f (0 K): -0.800 eV per atom
data_PuVP2
_space_group_name_H-M_alt 'R 3 m'
_space_group_IT_number 160
_space_group_name_Hall 'R 3 -2"'
_cell_length_a 3.5707
_cell_length_b 3.5707
_cell_length_c 19.2180
_cell_angle_alpha 90.00
_cell_angle_beta 90.00
_cell_angle_gamma 120.00
loop_
_atom_site_label
_atom_site_type_symbol
_atom_site_fract_x
_atom_site_fract_y
_atom_site_fract_z
Pu1 Pu 0.0000 0.0000 0.0000
V1 V 0.0000 0.0000 0.8247
P1 P 0.0000 0.0000 0.4271
P2 P 0.0000 0.0000 0.5629

***

# 4
# PuP2W, relaxed, DFT GGA-PBE
# - Total magnetic moment: 6.0 μB/f.u.
# - Energy relative to the lowest polymorph listed for this composition: 0 kJ/mol of formula units
# - Crystal system: trigonal
# - ΔH_f (0 K): -0.621 eV per atom
data_PuP2W
_space_group_name_H-M_alt 'R 3 m'
_space_group_IT_number 160
_space_group_name_Hall 'R 3 -2"'
_cell_length_a 3.5339
_cell_length_b 3.5339
_cell_length_c 20.3459
_cell_angle_alpha 90.00
_cell_angle_beta 90.00
_cell_angle_gamma 120.00
loop_
_atom_site_label
_atom_site_type_symbol
_atom_site_fract_x
_atom_site_fract_y
_atom_site_fract_z
Pu1 Pu 0.0000 0.0000 0.0000
P1 P 0.0000 0.0000 0.4260
P2 P 0.0000 0.0000 0.5657
W1 W 0.0000 0.0000 0.8272

***

# 5
# PuP2W, relaxed, DFT GGA-PBE
# - Total magnetic moment: 6.0 μB/f.u.
# - Energy relative to the lowest polymorph listed for this composition: 227 kJ/mol of formula units
# - Crystal system: trigonal
# - ΔH_f (0 K): -0.032 eV per atom
data_PuP2W
_space_group_name_H-M_alt 'R -3 m'
_space_group_IT_number 166
_space_group_name_Hall '-R 3 2"'
_cell_length_a 3.1523
_cell_length_b 3.1523
_cell_length_c 27.3806
_cell_angle_alpha 90.00
_cell_angle_beta 90.00
_cell_angle_gamma 120.00
loop_
_atom_site_label
_atom_site_type_symbol
_atom_site_fract_x
_atom_site_fract_y
_atom_site_fract_z
Pu1 Pu 0.0000 0.0000 0.0000
P1 P 0.0000 0.0000 0.1056
W1 W 0.0000 0.0000 0.5000

***

# 6
# YPuP2, relaxed, DFT GGA-PBE
# - Total magnetic moment: 4.9 μB/f.u.
# - Energy relative to the lowest polymorph listed for this composition: 0 kJ/mol of formula units
# - Crystal system: trigonal
# - ΔH_f (0 K): -1.393 eV per atom
data_YPuP2
_space_group_name_H-M_alt 'R -3 m'
_space_group_IT_number 166
_space_group_name_Hall '-R 3 2"'
_cell_length_a 4.0122
_cell_length_b 4.0122
_cell_length_c 19.4641
_cell_angle_alpha 90.00
_cell_angle_beta 90.00
_cell_angle_gamma 120.00
loop_
_atom_site_label
_atom_site_type_symbol
_atom_site_fract_x
_atom_site_fract_y
_atom_site_fract_z
Y1 Y 0.0000 0.0000 0.0000
Pu1 Pu 0.0000 0.0000 0.5000
P1 P 0.0000 0.0000 0.2478

***

# 7
# Y3PuP4, relaxed, DFT GGA-PBE
# - Total magnetic moment: 4.9 μB/f.u.
# - Energy relative to the lowest polymorph listed for this composition: 3 kJ/mol of formula units
# - Crystal system: orthorhombic
# - ΔH_f (0 K): -1.501 eV per atom
data_Y3PuP4
_space_group_name_H-M_alt 'C m m m'
_space_group_IT_number 65
_space_group_name_Hall '-C 2 2'
_cell_length_a 7.999
_cell_length_b 11.318
_cell_length_c 4.014
_cell_angle_alpha 90.00
_cell_angle_beta 90.00
_cell_angle_gamma 90.00
loop_
_atom_site_label
_atom_site_type_symbol
_atom_site_fract_x
_atom_site_fract_y
_atom_site_fract_z
Y1 Y 0.000 0.000 0.000
Y2 Y 0.250 0.250 0.500
Pu1 Pu 0.000 0.500 0.000
P1 P 0.000 0.252 0.000
P2 P 0.246 0.500 0.500

***

# 8
# YPu2P3, relaxed, DFT GGA-PBE
# - Total magnetic moment: 9.9 μB/f.u.
# - Crystal system: orthorhombic
# - ΔH_f (0 K): -1.314 eV per atom
data_YPu2P3
_space_group_name_H-M_alt 'I m m m'
_space_group_IT_number 71
_space_group_name_Hall '-I 2 2'
_cell_length_a 4.004
_cell_length_b 5.649
_cell_length_c 11.977
_cell_angle_alpha 90.00
_cell_angle_beta 90.00
_cell_angle_gamma 90.00
loop_
_atom_site_label
_atom_site_type_symbol
_atom_site_fract_x
_atom_site_fract_y
_atom_site_fract_z
Y1 Y 0.000 0.000 0.000
Pu1 Pu 0.000 0.000 0.335
P1 P 0.000 0.500 0.000
P2 P 0.000 0.500 0.329

***

# 9
# YPuP2, relaxed, DFT GGA-PBE
# - Total magnetic moment: 5.0 μB/f.u.
# - Energy relative to the lowest polymorph listed for this composition: 64 kJ/mol of formula units
# - Crystal system: trigonal
# - ΔH_f (0 K): -1.227 eV per atom
data_YPuP2
_space_group_name_H-M_alt 'R 3 m'
_space_group_IT_number 160
_space_group_name_Hall 'R 3 -2"'
_cell_length_a 3.9849
_cell_length_b 3.9849
_cell_length_c 20.1561
_cell_angle_alpha 90.00
_cell_angle_beta 90.00
_cell_angle_gamma 120.00
loop_
_atom_site_label
_atom_site_type_symbol
_atom_site_fract_x
_atom_site_fract_y
_atom_site_fract_z
Y1 Y 0.0000 0.0000 0.0000
Pu1 Pu 0.0000 0.0000 0.8277
P1 P 0.0000 0.0000 0.2443
P2 P 0.0000 0.0000 0.4169

***

# 10
# YPu2P, relaxed, DFT GGA-PBE
# - Total magnetic moment: 11.9 μB/f.u.
# - Crystal system: trigonal
# - ΔH_f (0 K): -0.328 eV per atom
data_YPu2P
_space_group_name_H-M_alt 'R -3 m'
_space_group_IT_number 166
_space_group_name_Hall '-R 3 2"'
_cell_length_a 3.6647
_cell_length_b 3.6647
_cell_length_c 28.6028
_cell_angle_alpha 90.00
_cell_angle_beta 90.00
_cell_angle_gamma 120.00
loop_
_atom_site_label
_atom_site_type_symbol
_atom_site_fract_x
_atom_site_fract_y
_atom_site_fract_z
Y1 Y 0.0000 0.0000 0.0000
Pu1 Pu 0.0000 0.0000 0.2290
P1 P 0.0000 0.0000 0.5000

***

# 11
# Y3PuP4, relaxed, DFT GGA-PBE
# - Total magnetic moment: 4.9 μB/f.u.
# - Energy relative to the lowest polymorph listed for this composition: 0 kJ/mol of formula units
# - Crystal system: monoclinic
# - ΔH_f (0 K): -1.505 eV per atom
data_Y3PuP4
_space_group_name_H-M_alt 'P 1 2/c 1'
_space_group_IT_number 13
_space_group_name_Hall '-P 2yc'
_cell_length_a 6.924
_cell_length_b 8.015
_cell_length_c 6.945
_cell_angle_alpha 90.00
_cell_angle_beta 109.51
_cell_angle_gamma 90.00
loop_
_atom_site_label
_atom_site_type_symbol
_atom_site_fract_x
_atom_site_fract_y
_atom_site_fract_z
Y1 Y 0.000 0.124 0.250
Y2 Y 0.000 0.374 0.750
Y3 Y 0.500 0.124 0.750
Pu1 Pu 0.500 0.374 0.250
P1 P 0.251 0.127 0.002
P2 P 0.256 0.378 0.499

***

# 12
# YPu5P6, relaxed, DFT GGA-PBE
# - Total magnetic moment: 24.7 μB/f.u.
# - Crystal system: monoclinic
# - ΔH_f (0 K): -1.233 eV per atom
data_YPu5P6
_space_group_name_H-M_alt 'C 1 2/m 1'
_space_group_IT_number 12
_space_group_name_Hall '-C 2y'
_cell_length_a 6.925
_cell_length_b 11.994
_cell_length_c 6.928
_cell_angle_alpha 90.00
_cell_angle_beta 109.47
_cell_angle_gamma 90.00
loop_
_atom_site_label
_atom_site_type_symbol
_atom_site_fract_x
_atom_site_fract_y
_atom_site_fract_z
Y1 Y 0.000 0.000 0.000
Pu1 Pu 0.000 0.165 0.500
Pu2 Pu 0.000 0.333 0.000
Pu3 Pu 0.000 0.500 0.500
P1 P 0.246 0.500 0.251
P2 P 0.247 0.331 0.747

***

Q: Among the records above, which one has the highest total magnetic moment?
A: YPu5P6

***

Q: Among the records above, which one has the highest ΔH_f (0 K)?
A: number 5